[1]
{
  "formula": "InAg4I5",
  "functional": "PBE",
  "state": "optimized geometry",
  "lattice": [[4.703, 0.000, 0.000], [-2.351, 4.073, 0.000], [0.000, 0.000, 41.460]],
  "species": ["In", "I", "Ag", "Ag", "I", "Ag", "Ag", "I", "I", "I", "Ag", "Ag", "I", "I", "Ag", "I", "Ag", "I", "In", "I"],
  "fractional_positions": [[0.333, 0.667, 0.309], [0.667, 0.333, 0.905], [0.333, 0.667, 0.516], [0.667, 0.333, 0.608], [0.333, 0.667, 0.446], [0.667, 0.333, 0.424], [0.667, 0.333, 0.792], [0.667, 0.333, 0.354], [0.333, 0.667, 0.630], [0.667, 0.333, 0.722], [0.667, 0.333, 0.975], [0.333, 0.667, 0.883], [0.667, 0.333, 0.538], [0.333, 0.667, 0.997], [0.667, 0.333, 0.200], [0.667, 0.333, 0.130], [0.333, 0.667, 0.700], [0.333, 0.667, 0.814], [0.333, 0.667, 0.085], [0.333, 0.667, 0.222]],
  "formation_energy_uncorrected_ev_per_atom": -0.27,
  "sg": "P3m1"
}

---

[2]
{
  "formula": "Pr2Al3Au",
  "functional": "PBE",
  "state": "optimized geometry",
  "lattice": [[4.289, 0.000, 1.796], [1.987, 5.382, 1.275], [0.013, -0.278, 5.987]],
  "species": ["Al", "Al", "Pr", "Pr", "Al", "Au"],
  "fractional_positions": [[0.835, 0.229, 0.101], [0.842, 0.605, 0.711], [0.544, 0.206, 0.706], [0.451, 0.795, 0.303], [0.162, 0.777, 0.900], [0.166, 0.387, 0.280]],
  "sg": "Cm",
  "polymorph_energy_kcal_per_mol_atoms": 0.00,
  "e_form_ev_per_atom": -0.6005
}

---

[3]
{
  "formula": "PaCrTc2",
  "functional": "PBE",
  "state": "optimized geometry",
  "lattice": [[2.892, 0.000, 0.000], [1.446, 2.505, 0.000], [1.446, 0.835, 9.063]],
  "species": ["Cr", "Tc", "Pa", "Tc"],
  "fractional_positions": [[0.000, 0.000, 0.000], [0.264, 0.264, 0.208], [0.500, 0.500, 0.500], [0.736, 0.736, 0.792]],
  "sg": "R-3m",
  "polymorph_energy_kcal_per_mol_atoms": 6.27,
  "e_form_ev_per_atom": 0.3035
}

---

| no. | volume (A^3/atom) | E (eV per atom) | total magnetization (μB/cell) |
| --- | --- | --- | --- |
| 1 | 39.71 | -2.462 | 0.00 |
| 2 | 23.10 | -4.611 | 0.00 |
| 3 | 16.41 | -9.659 | 0.00 |